No. 1
The following is a DFT calculation (PBE-GGA) of a relaxed LaNi2Br crystal.

Lattice parameters (Å, degrees): 5.223 5.223 5.377 100.81 100.81 42.01
Element x y z (fractional)
Br1 0.750 0.750 0.750
La1 0.250 0.250 0.250
Ni1 0.943 0.943 0.136
Ni2 0.557 0.557 0.364

Computed properties:
* magnetization: 0.0 μB/f.u.
* uncorrected formation energy: -0.262 eV per atom
* distance to the lowest polymorph of the same formula: 20.90 kJ/mol of atoms
* total energy: -4.80 eV per atom
* space group: C2/m, No. 12
* calculated volume: 24.04 A^3/atom

No. 2
The following is a DFT calculation (PBE-GGA) of a relaxed La2Dy2Ag crystal.

Lattice parameters (Å, degrees): 3.690 3.690 11.570 99.18 99.18 90.00
Element x y z (fractional)
La1 0.809 0.809 0.618
La2 0.191 0.191 0.382
Dy1 0.578 0.578 0.156
Dy2 0.422 0.422 0.844
Ag1 0.000 0.000 0.000

Computed properties:
* DFT formation energy: -0.10 eV/atom
* magnetization: 0.0 μB/f.u.
* total energy: -4.48 eV per atom
* space group: I4/mmm, No. 139
* calculated volume: 30.70 A^3/atom

No. 3
The following is a DFT calculation (PBE-GGA) of a relaxed Rb6Cd3Ag crystal.

Lattice parameters (Å, degrees): 7.584 11.132 11.436 91.32 90.00 90.00
Element x y z (fractional)
Rb1 0.930 0.330 0.074
Rb2 0.912 0.335 0.431
Rb3 0.753 0.165 0.758
Rb4 0.247 0.835 0.242
Rb5 0.088 0.665 0.569
Rb6 0.070 0.670 0.926
Rb7 0.570 0.830 0.574
Rb8 0.588 0.835 0.931
Rb9 0.747 0.665 0.258
Rb10 0.253 0.335 0.742
Rb11 0.412 0.165 0.069
Rb12 0.430 0.170 0.426
Cd1 0.346 0.475 0.261
Cd2 0.500 0.500 0.000
Cd3 0.654 0.525 0.739
Cd4 0.154 0.975 0.761
Cd5 0.000 0.000 0.500
Cd6 0.846 0.025 0.239
Ag1 0.500 0.500 0.500
Ag2 0.000 0.000 0.000

Computed properties:
* DFT formation energy: 0.03 eV/atom
* magnetization: 0.0 μB/f.u.
* total energy: -1.11 eV per atom
* space group: P2_1/c, No. 14
* calculated volume: 48.26 A^3/atom

No. 4
The following is a DFT calculation (PBE-GGA) of a relaxed ScTiF3 crystal.

Lattice parameters (Å, degrees): 4.230 4.230 4.230 90.00 90.00 90.00
Element x y z (fractional)
Sc1 0.000 0.000 0.000
F1 0.000 0.500 0.000
F2 0.000 0.000 0.500
F3 0.500 0.000 0.000
Ti1 0.500 0.500 0.500

Computed properties:
* magnetization: 3.8 μB/f.u.
* uncorrected formation energy: -2.158 eV per atom
* distance to the lowest polymorph of the same formula: 0.00 kJ/mol of atoms
* total energy: -6.13 eV per atom
* space group: Pm-3m, No. 221
* calculated volume: 15.14 A^3/atom

No. 5
The following is a DFT calculation (PBE-GGA) of a relaxed ErBeNi3 crystal.

Lattice parameters (Å, degrees): 4.512 7.920 7.920 146.64 90.00 90.00
Element x y z (fractional)
Er1 0.750 0.601 0.399
Er2 0.250 0.399 0.601
Be1 0.750 0.880 0.120
Be2 0.250 0.120 0.880
Ni1 0.750 0.510 0.976
Ni2 0.750 0.024 0.490
Ni3 0.250 0.976 0.510
Ni4 0.250 0.490 0.024
Ni5 0.000 0.000 0.000
Ni6 0.500 0.000 0.000

Computed properties:
* DFT formation energy: 0.02 eV/atom
* magnetization: 0.0 μB/f.u.
* total energy: -5.10 eV per atom
* space group: Cmcm, No. 63
* calculated volume: 15.57 A^3/atom

No. 6
The following is a DFT calculation (PBE-GGA) of a relaxed Nd2HPb crystal.

Lattice parameters (Å, degrees): 3.831 5.256 5.256 90.00 90.00 90.00
Element x y z (fractional)
Pb1 0.500 0.000 0.000
H1 0.500 0.500 0.500
Nd1 0.000 0.000 0.500
Nd2 0.000 0.500 0.000

Computed properties:
* magnetization: 0.0 μB/f.u.
* distance to the lowest polymorph of the same formula: 45.36 kJ/mol of atoms
* total energy: -4.20 eV per atom
* space group: P4/mmm, No. 123
* calculated volume: 26.46 A^3/atom